(1)
A geometry-optimized Ca2ZrZn structure. Source: the Alexandria database, functional PBE-GGA.

Computed properties:
final energy = -0.2374 Ry per atom
energy of formation = 0.226 eV per atom

Lattice parameters (Å, degrees): 3.4407 4.7337 6.5554 90.00 90.18 90.00
Fractional positions:
Ca 0.0022 0.0000 0.2585
Ca 0.9978 0.0000 0.7415
Zr 0.5000 0.5000 0.0000
Zn 0.5000 0.5000 0.5000

(2)
A geometry-optimized KZn3Sn structure. Source: the Alexandria database, functional PBE-GGA.

Computed properties:
final energy = -0.1292 Ry per atom
energy of formation = 0.027 eV per atom
distance to the lowest polymorph of the same formula = 0 meV per atom

Lattice parameters (Å, degrees): 5.9729 6.2372 6.2878 89.50 86.36 86.03
Fractional positions:
K 0.0000 0.0000 0.0000
K 0.4380 0.7150 0.3133
Zn 0.2260 0.4820 0.8449
Zn 0.4811 0.2312 0.1049
Zn 0.5276 0.9767 0.7752
Zn 0.7056 0.2219 0.4657
Zn 0.9101 0.8214 0.5029
Zn 0.9516 0.4999 0.2223
Sn 0.2004 0.2087 0.4992
Sn 0.7170 0.5251 0.8122

(3)
A geometry-optimized KTi3I structure. Source: the Alexandria database, functional PBE-GGA.

Computed properties:
formation energy (no corrections) = 2.083 eV/atom
final energy = -0.2340 Ry per atom
distance to the lowest polymorph of the same formula = 930 meV per atom

Lattice parameters (Å, degrees): 4.8631 4.8631 4.8631 90.00 90.00 90.00
Fractional positions:
K 0.0000 0.0000 0.0000
Ti 0.0000 0.0000 0.5000
Ti 0.0000 0.5000 0.0000
Ti 0.5000 0.0000 0.0000
I 0.5000 0.5000 0.5000

(4)
A geometry-optimized MgSiPO2 structure. Source: the Alexandria database, functional PBE-GGA.

Computed properties:
formation energy (no corrections) = -0.119 eV/atom
final energy = -0.3372 Ry per atom
distance to the lowest polymorph of the same formula = 1005 meV per atom

Lattice parameters (Å, degrees): 3.7510 3.7510 5.4036 90.00 90.00 90.00
Fractional positions:
Mg 0.0000 0.0000 0.0000
Si 0.5000 0.5000 0.5000
P 0.0000 0.0000 0.5000
O 0.0000 0.5000 0.0000
O 0.5000 0.0000 0.0000

(5)
A geometry-optimized Ba2MoPbS structure. Source: the Alexandria database, functional PBE-GGA.

Computed properties:
formation energy (no corrections) = 0.421 eV/atom
final energy = -0.3000 Ry per atom

Lattice parameters (Å, degrees): 6.5917 6.5917 5.2851 90.00 90.00 90.00
Fractional positions:
Ba 0.0000 0.5000 0.0000
Ba 0.5000 0.0000 0.0000
Mo 0.0000 0.0000 0.5000
Pb 0.0000 0.0000 0.0000
S 0.5000 0.5000 0.5000

(6)
A geometry-optimized HfNbRe3 structure. Source: the Alexandria database, functional PBE-GGA.

Computed properties:
final energy = -0.7133 Ry per atom
energy of formation = 1.768 eV per atom
distance to the lowest polymorph of the same formula = 0 meV per atom

Lattice parameters (Å, degrees): 4.7202 4.7202 4.7202 90.00 90.00 90.00
Fractional positions:
Hf 0.0000 0.0000 0.0000
Nb 0.5000 0.5000 0.5000
Re 0.0000 0.5000 0.5000
Re 0.5000 0.0000 0.5000
Re 0.5000 0.5000 0.0000

Ordered total magnetic moment results: 0.00, 0.00, 3.29, 1.88, 3.99, 0.00; unit μB per cell.